Here is a relaxed ReMoAu2 crystal from Alexandria via LeMat-Bulk. Energies are from PBE.

abc: 4.3688 2.7388 6.1202
angles: 63.39 90.00 90.00
Last column: nearest neighbours and their distance in Å.
Atoms (fractional coordinates):
Au (0.0000, 0.0001, 0.9998)  4 Au 2.73-2.74, 4 Re 2.92, 4 Mo 2.92
Mo (0.5000, 0.2500, 0.2500)  2 Re 2.74, 2 Mo 2.74, 8 Au 2.92
Re (0.5000, 0.7500, 0.7500)  2 Mo 2.74, 2 Re 2.74, 8 Au 2.92
Au (0.0000, 0.4999, 0.5002)  4 Au 2.73-2.74, 4 Re 2.92, 4 Mo 2.92

VASP energy ... -7.02 eV/atom
DOS at the Fermi energy ... 2.146 states/eV/f.u.
Density ... 17.1 g/cm3